1.
ReSn2BH after structural relaxation. Source: Alexandria, functional GGA-PBE.

Summary:
Final energy = -25.6 eV/f.u.
Magnetization = 0.0 μB/f.u.

Lattice parameters (Å, degrees): 4.7896 3.1494 4.7896 90.00 90.00 90.00
Sites, in units of the cell vectors:
Re1 0.5000 0.5000 0.5000
B1 0.0000 0.5000 0.0000
Sn1 0.0000 0.0000 0.5000
Sn2 0.5000 0.0000 0.0000
H1 0.0000 0.0000 0.0000

=====

2.
LiPm2Al3 after structural relaxation. Source: Alexandria, functional GGA-PBE.

Summary:
Final energy = -25.0 eV/f.u.
Relative energy among the computed polymorphs = 0 meV per atom
Magnetization = 0.0 μB/f.u.
Formation energy = -37.16 kJ per mole of atoms

Lattice parameters (Å, degrees): 5.7345 5.7345 9.0930 90.00 90.00 120.00
Sites, in units of the cell vectors:
Li1 0.0000 0.0000 0.5000
Li2 0.0000 0.0000 0.0000
Pm1 0.6667 0.3333 0.4259
Pm2 0.3333 0.6667 0.5741
Pm3 0.3333 0.6667 0.9259
Pm4 0.6667 0.3333 0.0741
Al1 0.1699 0.3398 0.2500
Al2 0.3398 0.1699 0.7500
Al3 0.8301 0.6602 0.7500
Al4 0.1699 0.8301 0.2500
Al5 0.8301 0.1699 0.7500
Al6 0.6602 0.8301 0.2500

=====

3.
ZrAsSe2Cl after structural relaxation. Source: Alexandria, functional GGA-PBE.

Summary:
Final energy = -19.1 eV/f.u.
Relative energy among the computed polymorphs = 718 meV per atom
Formation energy from raw total energies = 0.586 eV/atom
Magnetization = 0.0 μB/f.u.

Lattice parameters (Å, degrees): 4.9400 4.9400 4.7013 90.00 90.00 90.00
Sites, in units of the cell vectors:
As1 0.0000 0.0000 0.5000
Se1 0.0000 0.5000 0.0000
Se2 0.5000 0.0000 0.0000
Zr1 0.5000 0.5000 0.5000
Cl1 0.0000 0.0000 0.0000

=====

4.
KGe3Ir after structural relaxation. Source: Alexandria, functional GGA-PBE.

Summary:
Final energy = -12.4 eV/f.u.
Relative energy among the computed polymorphs = 2397 meV per atom
Magnetization = 0.0 μB/f.u.
Formation energy = 220.29 kJ per mole of atoms

Lattice parameters (Å, degrees): 5.1046 5.1046 5.1046 90.00 90.00 90.00
Sites, in units of the cell vectors:
Ge1 0.0000 0.5000 0.0000
Ge2 0.0000 0.0000 0.5000
Ge3 0.5000 0.0000 0.0000
Ir1 0.5000 0.5000 0.5000
K1 0.0000 0.0000 0.0000

=====

5.
Y2H2Ru after structural relaxation. Source: Alexandria, functional GGA-PBE.

Summary:
Final energy = -30.8 eV/f.u.
Relative energy among the computed polymorphs = 133 meV per atom
Magnetization = 0.0 μB/f.u.

Lattice parameters (Å, degrees): 3.4049 3.4049 6.6464 90.00 90.00 90.00
Sites, in units of the cell vectors:
Y1 0.5000 0.5000 0.7439
Y2 0.5000 0.5000 0.2561
H1 0.5000 0.0000 0.5000
H2 0.0000 0.5000 0.5000
Ru1 0.0000 0.0000 0.0000

=====

6.
BaSi2Ag after structural relaxation. Source: Alexandria, functional GGA-PBE.

Summary:
Final energy = -13.8 eV/f.u.
Formation energy from raw total energies = 0.449 eV/atom
Magnetization = 0.0 μB/f.u.

Lattice parameters (Å, degrees): 7.0681 5.8010 3.0934 89.88 64.27 119.57
Sites, in units of the cell vectors:
Ag1 0.0000 0.5000 0.5000
Ba1 0.5000 0.5000 0.0000
Si1 0.0000 0.0000 0.0000
Si2 0.5000 0.0000 0.5000

=====

7.
SmPd6Au after structural relaxation. Source: Alexandria, functional GGA-PBE.

Summary:
Final energy = -42.5 eV/f.u.
Relative energy among the computed polymorphs = 0 meV per atom
Magnetization = 0.0 μB/f.u.
Formation energy = -39.80 kJ per mole of atoms

Lattice parameters (Å, degrees): 4.1530 5.7383 5.7383 89.98 90.00 90.00
Sites, in units of the cell vectors:
Sm1 0.5000 0.0000 0.0000
Pd1 0.0000 0.7436 0.2564
Pd2 0.0000 0.2564 0.7436
Pd3 0.0000 0.7437 0.7437
Pd4 0.0000 0.2563 0.2563
Pd5 0.5000 0.5000 0.0000
Pd6 0.5000 0.0000 0.5000
Au1 0.5000 0.5000 0.5000

=====

8.
AcCuSiAu6 after structural relaxation. Source: Alexandria, functional GGA-PBE.

Summary:
Final energy = -34.4 eV/f.u.
Formation energy from raw total energies = -0.124 eV/atom
Magnetization = 0.0 μB/f.u.

Lattice parameters (Å, degrees): 7.1835 8.8801 8.7510 120.49 114.23 90.00
Sites, in units of the cell vectors:
Ac1 0.8702 0.6202 0.7405
Ac2 0.1298 0.3798 0.2595
Cu1 0.5000 0.0000 0.5000
Cu2 0.0000 0.0000 0.5000
Si1 0.5000 0.5000 0.0000
Si2 0.5000 0.0000 0.0000
Au1 0.4154 0.6654 0.8308
Au2 0.8913 0.1413 0.7827
Au3 0.8561 0.1313 0.2922
Au4 0.4360 0.6609 0.2922
Au5 0.4360 0.1313 0.2922
Au6 0.8561 0.6609 0.2922
Au7 0.5846 0.3346 0.1692
Au8 0.1087 0.8587 0.2173
Au9 0.1439 0.8687 0.7078
Au10 0.5640 0.3391 0.7078
Au11 0.5640 0.8687 0.7078
Au12 0.1439 0.3391 0.7078